Fe2CoTc2 PBE-GGA optimized geometry; energy relative to the lowest polymorph listed for this composition = 0.000 eV per atom; crystal system = tetragonal; space group = P4/mbm, No. 127; E = -86.79 eV/cell
1.0
-6.457 -0.424 2.177
2.211 -1.765 6.214
0.070 2.599 0.714
Tc Co Fe
4 2 4
Cartesian
0.404 0.037 4.919
-4.581 0.373 4.185
-1.690 0.855 2.145
-2.487 -0.445 6.959
0.000 0.000 0.000
-2.123 -1.095 4.195
-3.758 -0.485 2.134
-4.272 -1.474 5.787
-0.489 -1.704 6.257
0.025 -0.716 2.604